Entry 1:
This record from the Open Quantum Materials Database describes crystalline PrAlRe at its relaxed geometry. The functional is PBE.

Properties
Theoretical density ... 7.538 g/cm³
Space group ... F-43m (216)
Total DFT energy (no corrections) ... -5.5514 eV per atom

CIF file:
```
data_PrAlRe
_cell_length_a 4.796
_cell_length_b 4.796
_cell_length_c 4.796
_cell_angle_alpha 60.00
_cell_angle_beta 60.00
_cell_angle_gamma 60.00
_symmetry_space_group_name_H-M 'P 1'
_symmetry_Int_Tables_number 1
_symmetry_space_group_name_Hall 'P 1'
loop_
_atom_site_label
_atom_site_fract_x
_atom_site_fract_y
_atom_site_fract_z
Al1 0.250 0.250 0.250
Pr1 0.000 0.000 0.000
Re1 0.750 0.750 0.750
```

=====

Entry 2:
This record from the Open Quantum Materials Database describes crystalline Pr3Al5S12 at its relaxed geometry. The functional is PBE.

Properties
Theoretical density ... 3.604 g/cm³
Space group ... Ia-3d (230)
Total DFT energy (no corrections) ... -5.5923 eV per atom

CIF file:
```
data_Pr3Al5S12
_cell_length_a 13.115
_cell_length_b 13.115
_cell_length_c 13.115
_cell_angle_alpha 109.47
_cell_angle_beta 109.47
_cell_angle_gamma 109.47
_symmetry_space_group_name_H-M 'P 1'
_symmetry_Int_Tables_number 1
_symmetry_space_group_name_Hall 'P 1'
loop_
_atom_site_label
_atom_site_fract_x
_atom_site_fract_y
_atom_site_fract_z
Al1 0.000 0.000 0.000
Al2 0.500 0.000 0.000
Al3 0.000 0.500 0.000
Al4 0.500 0.500 0.000
Al5 0.875 0.250 0.125
Al6 0.750 0.875 0.125
Al7 0.625 0.375 0.250
Al8 0.125 0.875 0.250
Al9 0.250 0.625 0.375
Al10 0.625 0.750 0.375
Al11 0.000 0.000 0.500
Al12 0.500 0.000 0.500
Al13 0.000 0.500 0.500
Al14 0.500 0.500 0.500
Al15 0.375 0.250 0.625
Al16 0.750 0.375 0.625
Al17 0.875 0.125 0.750
Al18 0.375 0.625 0.750
Al19 0.250 0.125 0.875
Al20 0.125 0.750 0.875
Pr1 0.375 0.750 0.125
Pr2 0.250 0.375 0.125
Pr3 0.375 0.125 0.250
Pr4 0.875 0.625 0.250
Pr5 0.750 0.125 0.375
Pr6 0.125 0.250 0.375
Pr7 0.875 0.750 0.625
Pr8 0.250 0.875 0.625
Pr9 0.125 0.375 0.750
Pr10 0.625 0.875 0.750
Pr11 0.625 0.250 0.875
Pr12 0.750 0.625 0.875
S1 0.203 0.117 0.024
S2 0.322 0.907 0.024
S3 0.883 0.407 0.085
S4 0.703 0.678 0.085
S5 0.617 0.415 0.093
S6 0.976 0.678 0.093
S7 0.024 0.203 0.117
S8 0.593 0.915 0.117
S9 0.203 0.585 0.178
S10 0.476 0.593 0.178
S11 0.585 0.178 0.203
S12 0.117 0.024 0.203
S13 0.476 0.383 0.297
S14 0.322 0.915 0.297
S15 0.907 0.024 0.322
S16 0.915 0.297 0.322
S17 0.297 0.476 0.383
S18 0.585 0.907 0.383
S19 0.822 0.524 0.407
S20 0.085 0.883 0.407
S21 0.093 0.617 0.415
S22 0.822 0.797 0.415
S23 0.593 0.178 0.476
S24 0.383 0.297 0.476
S25 0.617 0.703 0.524
S26 0.407 0.822 0.524
S27 0.178 0.203 0.585
S28 0.907 0.383 0.585
S29 0.915 0.117 0.593
S30 0.178 0.476 0.593
S31 0.415 0.093 0.617
S32 0.703 0.524 0.617
S33 0.085 0.703 0.678
S34 0.093 0.976 0.678
S35 0.678 0.085 0.703
S36 0.524 0.617 0.703
S37 0.415 0.822 0.797
S38 0.883 0.976 0.797
S39 0.524 0.407 0.822
S40 0.797 0.415 0.822
S41 0.407 0.085 0.883
S42 0.976 0.797 0.883
S43 0.024 0.322 0.907
S44 0.383 0.585 0.907
S45 0.297 0.322 0.915
S46 0.117 0.593 0.915
S47 0.678 0.093 0.976
S48 0.797 0.883 0.976
```

=====

Entry 3:
This record from the Open Quantum Materials Database describes crystalline PrScAl at its relaxed geometry. The functional is PBE.

Properties
Theoretical density ... 4.161 g/cm³
Space group ... F-43m (216)
Total DFT energy (no corrections) ... -4.5651 eV per atom

CIF file:
```
data_PrScAl
_cell_length_a 4.934
_cell_length_b 4.934
_cell_length_c 4.934
_cell_angle_alpha 60.00
_cell_angle_beta 60.00
_cell_angle_gamma 60.00
_symmetry_space_group_name_H-M 'P 1'
_symmetry_Int_Tables_number 1
_symmetry_space_group_name_Hall 'P 1'
loop_
_atom_site_label
_atom_site_fract_x
_atom_site_fract_y
_atom_site_fract_z
Al1 0.250 0.250 0.250
Pr1 0.750 0.750 0.750
Sc1 0.000 0.000 0.000
```

=====

Entry 4:
This record from the Open Quantum Materials Database describes crystalline PrScAl at its relaxed geometry. The functional is PBE.

Properties
Theoretical density ... 3.916 g/cm³
Space group ... F-43m (216)
Total DFT energy (no corrections) ... -4.3996 eV per atom

CIF file:
```
data_PrScAl
_cell_length_a 5.035
_cell_length_b 5.035
_cell_length_c 5.035
_cell_angle_alpha 60.00
_cell_angle_beta 60.00
_cell_angle_gamma 60.00
_symmetry_space_group_name_H-M 'P 1'
_symmetry_Int_Tables_number 1
_symmetry_space_group_name_Hall 'P 1'
loop_
_atom_site_label
_atom_site_fract_x
_atom_site_fract_y
_atom_site_fract_z
Al1 0.250 0.250 0.250
Pr1 0.000 0.000 0.000
Sc1 0.750 0.750 0.750
```

=====

Entry 5:
This record from the Open Quantum Materials Database describes crystalline PrTmAlSe3 at its relaxed geometry. The functional is PBE.

Properties
Theoretical density ... 6.650 g/cm³
Space group ... Cmcm (63)
Total DFT energy (no corrections) ... -5.1424 eV per atom

CIF file:
```
data_PrTmAlSe3
_cell_length_a 7.581
_cell_length_b 7.581
_cell_length_c 9.820
_cell_angle_alpha 90.00
_cell_angle_beta 90.00
_cell_angle_gamma 149.50
_symmetry_space_group_name_H-M 'P 1'
_symmetry_Int_Tables_number 1
_symmetry_space_group_name_Hall 'P 1'
loop_
_atom_site_label
_atom_site_fract_x
_atom_site_fract_y
_atom_site_fract_z
Al1 0.474 0.526 0.250
Al2 0.526 0.474 0.750
Pr1 0.776 0.224 0.250
Pr2 0.224 0.776 0.750
Se1 0.356 0.644 0.047
Se2 0.118 0.882 0.250
Se3 0.356 0.644 0.453
Se4 0.644 0.356 0.547
Se5 0.882 0.118 0.750
Se6 0.644 0.356 0.953
Tm1 0.000 0.000 0.000
Tm2 0.000 0.000 0.500
```

=====

Entry 6:
This record from the Open Quantum Materials Database describes crystalline Pr2Al2Si at its relaxed geometry. The functional is PBE.

Properties
Theoretical density ... 4.937 g/cm³
Space group ... Cmcm (63)
Total DFT energy (no corrections) ... -5.0875 eV per atom

CIF file:
```
data_Pr2Al2Si
_cell_length_a 13.515
_cell_length_b 13.515
_cell_length_c 4.502
_cell_angle_alpha 90.00
_cell_angle_beta 90.00
_cell_angle_gamma 162.68
_symmetry_space_group_name_H-M 'P 1'
_symmetry_Int_Tables_number 1
_symmetry_space_group_name_Hall 'P 1'
loop_
_atom_site_label
_atom_site_fract_x
_atom_site_fract_y
_atom_site_fract_z
Al1 0.620 0.380 0.250
Al2 0.524 0.476 0.250
Al3 0.476 0.524 0.750
Al4 0.380 0.620 0.750
Pr1 0.924 0.076 0.250
Pr2 0.295 0.705 0.250
Pr3 0.705 0.295 0.750
Pr4 0.076 0.924 0.750
Si1 0.175 0.825 0.250
Si2 0.825 0.175 0.750
```

=====

Entry 7:
This record from the Open Quantum Materials Database describes crystalline PrSmAl2 at its relaxed geometry. The functional is PBE.

Properties
Theoretical density ... 5.162 g/cm³
Space group ... Amm2 (38)
Total DFT energy (no corrections) ... -4.5966 eV per atom

CIF file:
```
data_PrSmAl2
_cell_length_a 4.270
_cell_length_b 6.188
_cell_length_c 6.188
_cell_angle_alpha 42.79
_cell_angle_beta 90.00
_cell_angle_gamma 90.00
_symmetry_space_group_name_H-M 'P 1'
_symmetry_Int_Tables_number 1
_symmetry_space_group_name_Hall 'P 1'
loop_
_atom_site_label
_atom_site_fract_x
_atom_site_fract_y
_atom_site_fract_z
Al1 0.500 0.067 0.067
Al2 0.000 0.931 0.931
Pr1 0.000 0.643 0.643
Sm1 0.500 0.359 0.359
```

=====

Entry 8:
This record from the Open Quantum Materials Database describes crystalline PrTaAl at its relaxed geometry. The functional is PBE.

Properties
Theoretical density ... 6.812 g/cm³
Space group ... F-43m (216)
Total DFT energy (no corrections) ... -5.4452 eV per atom

CIF file:
```
data_PrTaAl
_cell_length_a 4.936
_cell_length_b 4.936
_cell_length_c 4.936
_cell_angle_alpha 60.00
_cell_angle_beta 60.00
_cell_angle_gamma 60.00
_symmetry_space_group_name_H-M 'P 1'
_symmetry_Int_Tables_number 1
_symmetry_space_group_name_Hall 'P 1'
loop_
_atom_site_label
_atom_site_fract_x
_atom_site_fract_y
_atom_site_fract_z
Al1 0.250 0.250 0.250
Pr1 0.000 0.000 0.000
Ta1 0.750 0.750 0.750
```

=====

Question: Among the records above, which one has the lowest theoretical density?
Answer: Pr3Al5S12

=====

Question: What is the formula in the third record?
Answer: PrScAl

=====

Question: Look up the total DFT energy (no corrections) of the sixth one.
Answer: -5.0875 eV per atom

=====

Question: Which of these has the lowest theoretical density?
Answer: Pr3Al5S12